Below is Zn2MoIF after structural relaxation, with properties calculated at the GGA+U level.

Cell: 5.4923 4.2650 5.4923 Å, 90.00 90.00 90.00°
Closest atoms and distances in Å follow each position.
Positions (direct):
I 0.5000 0.5000 0.5000  8 Zn 3.48, 4 Mo 3.88
Mo 0.0000 0.5000 0.0000  2 F 2.13
Zn 0.0000 0.0000 0.5000  2 F 2.75
Zn 0.5000 0.0000 0.0000  2 F 2.75
F 0.0000 0.0000 0.0000  2 Mo 2.13

The space-group type is P4/mmm (123). Its total energy is -2.609 eV/atom.